Entry 1:
DFT (PBE-GGA) results for a relaxed Cd2GaSb crystal.

Geometry as POSCAR:
```
Cd2GaSb
1.0
8.169 0.000 0.000
0.000 8.169 0.000
0.000 0.000 5.953
Cd Ga Sb
8 4 4
Cartesian
1.980 2.042 0.744
2.042 6.064 2.232
2.042 6.188 5.209
2.104 2.042 3.721
6.064 6.126 3.721
6.126 1.980 5.209
6.126 2.104 2.232
6.188 6.126 0.744
0.000 0.000 0.000
0.000 4.084 1.488
4.084 0.000 4.465
4.084 4.084 2.977
0.000 0.000 2.977
0.000 4.084 4.465
4.084 0.000 1.488
4.084 4.084 0.000
```

Properties
Magnetic moment, μB per formula unit: 0.000
E_tot, eV per atom: -2.12
Symmetry: No. 122

***

Entry 2:
DFT (PBE-GGA) results for a relaxed CdGaSb2 crystal.

Geometry as POSCAR:
```
CdGaSb2
1.0
3.283 0.000 0.000
-1.641 2.843 0.000
0.000 0.000 33.451
Cd Ga Sb
3 3 6
Cartesian
0.000 0.000 0.000
0.000 1.895 22.301
1.641 0.948 11.150
0.000 0.000 16.725
0.000 1.895 5.575
1.641 0.948 27.876
0.000 0.000 3.018
0.000 0.000 30.433
0.000 1.895 19.283
0.000 1.895 25.319
1.641 0.948 8.132
1.641 0.948 14.168
```

Properties
Magnetic moment, μB per formula unit: 0.000
E_tot, eV per atom: -2.91
Symmetry: No. 166

***

Entry 3:
DFT (PBE-GGA) results for a relaxed Cd2GaSb2 crystal.

Geometry as POSCAR:
```
Cd2GaSb2
1.0
8.769 0.000 0.000
0.000 8.769 0.000
0.000 0.000 3.430
Cd Ga Sb
4 2 4
Cartesian
1.156 3.229 0.000
3.229 7.613 0.000
5.540 1.156 0.000
7.613 5.540 0.000
0.000 0.000 1.715
4.384 4.384 1.715
1.470 5.855 1.715
2.914 1.470 1.715
5.855 7.298 1.715
7.298 2.914 1.715
```

Properties
Magnetic moment, μB per formula unit: 0.000
E_tot, eV per atom: -2.47
Symmetry: No. 127

***

Entry 4:
DFT (PBE-GGA) results for a relaxed Cd3GaSb crystal.

Geometry as POSCAR:
```
Cd3GaSb
1.0
5.609 0.000 0.000
0.000 5.609 0.000
0.000 0.000 5.609
Cd Ga Sb
3 1 1
Cartesian
0.000 0.000 2.804
0.000 2.804 0.000
2.804 0.000 0.000
2.804 2.804 2.804
0.000 0.000 0.000
```

Properties
Magnetic moment, μB per formula unit: 0.000
E_tot, eV per atom: -1.50
Symmetry: No. 221

***

Entry 5:
DFT (PBE-GGA) results for a relaxed Cd2GaSb crystal.

Geometry as POSCAR:
```
Cd2GaSb
1.0
7.315 0.000 0.000
0.000 7.315 0.000
0.000 0.000 7.315
Cd Ga Sb
8 4 4
Cartesian
1.829 1.829 1.829
1.829 1.829 5.486
1.829 5.486 1.829
1.829 5.486 5.486
5.486 1.829 1.829
5.486 1.829 5.486
5.486 5.486 1.829
5.486 5.486 5.486
0.000 0.000 0.000
0.000 3.657 3.657
3.657 0.000 3.657
3.657 3.657 0.000
0.000 0.000 3.657
0.000 3.657 0.000
3.657 0.000 0.000
3.657 3.657 3.657
```

Properties
Magnetic moment, μB per formula unit: 0.000
E_tot, eV per atom: -2.15
Symmetry: No. 225

***

Entry 6:
DFT (PBE-GGA) results for a relaxed Cd3GaSb crystal.

Geometry as POSCAR:
```
Cd3GaSb
1.0
5.181 0.000 0.000
0.000 5.181 0.000
0.000 0.000 5.181
Cd Ga Sb
3 1 1
Cartesian
0.000 0.000 2.591
0.000 2.591 0.000
2.591 0.000 0.000
0.000 0.000 0.000
2.591 2.591 2.591
```

Properties
Magnetic moment, μB per formula unit: 0.000
E_tot, eV per atom: -1.61
Symmetry: No. 221

***

Entry 7:
DFT (PBE-GGA) results for a relaxed CdGa3Sb crystal.

Geometry as POSCAR:
```
CdGa3Sb
1.0
5.145 0.000 0.000
0.000 5.145 0.000
0.000 0.000 5.145
Cd Ga Sb
1 3 1
Cartesian
0.000 0.000 0.000
0.000 0.000 2.572
0.000 2.572 0.000
2.572 0.000 0.000
2.572 2.572 2.572
```

Properties
Magnetic moment, μB per formula unit: 0.000
E_tot, eV per atom: -2.39
Symmetry: No. 221

***

Entry 8:
DFT (PBE-GGA) results for a relaxed Cd2GaSb crystal.

Geometry as POSCAR:
```
Cd2GaSb
1.0
3.711 0.000 0.000
0.000 3.711 0.000
0.000 0.000 6.916
Cd Ga Sb
2 1 1
Cartesian
0.000 0.000 1.597
0.000 0.000 5.319
1.855 1.855 0.000
1.855 1.855 3.458
```

Properties
Magnetic moment, μB per formula unit: 0.000
E_tot, eV per atom: -2.12
Symmetry: No. 123

***

Entry 9:
DFT (PBE-GGA) results for a relaxed CdGa2Sb2 crystal.

Geometry as POSCAR:
```
CdGa2Sb2
1.0
7.902 0.000 0.000
0.000 7.902 0.000
0.000 0.000 3.838
Cd Ga Sb
2 4 4
Cartesian
0.000 0.000 0.000
3.951 3.951 0.000
1.096 2.855 0.000
2.855 6.806 0.000
5.047 1.096 0.000
6.806 5.047 0.000
1.223 5.174 1.919
2.728 1.223 1.919
5.174 6.679 1.919
6.679 2.728 1.919
```

Properties
Magnetic moment, μB per formula unit: 0.000
E_tot, eV per atom: -2.91
Symmetry: No. 127

***

Entry 10:
DFT (PBE-GGA) results for a relaxed Cd2GaSb crystal.

Geometry as POSCAR:
```
Cd2GaSb
1.0
3.235 0.000 0.000
-1.617 2.801 0.000
0.000 0.000 32.970
Cd Ga Sb
6 3 3
Cartesian
0.000 0.000 2.738
0.000 0.000 30.232
0.000 1.868 19.242
0.000 1.868 24.718
1.617 0.934 8.252
1.617 0.934 13.728
0.000 0.000 0.000
0.000 1.868 21.980
1.617 0.934 10.990
0.000 0.000 16.485
0.000 1.868 5.495
1.617 0.934 27.475
```

Properties
Magnetic moment, μB per formula unit: 0.000
E_tot, eV per atom: -2.08
Symmetry: No. 166

***

Entry 11:
DFT (PBE-GGA) results for a relaxed CdGaSb crystal.

Geometry as POSCAR:
```
CdGaSb
1.0
3.865 0.000 0.000
0.000 3.865 0.000
0.000 0.000 9.664
Cd Ga Sb
2 2 2
Cartesian
0.000 0.000 0.000
1.933 1.933 4.832
0.000 0.000 3.143
1.933 1.933 7.975
0.000 0.000 6.544
1.933 1.933 1.712
```

Properties
Magnetic moment, μB per formula unit: 0.000
E_tot, eV per atom: -2.56
Symmetry: No. 107

***

Entry 12:
DFT (PBE-GGA) results for a relaxed CdGaSb2 crystal.

Geometry as POSCAR:
```
CdGaSb2
1.0
6.466 0.000 0.000
0.000 6.466 0.000
0.000 0.000 12.367
Cd Ga Sb
4 4 8
Cartesian
0.000 0.000 0.000
0.000 3.233 3.092
3.233 0.000 9.275
3.233 3.233 6.184
0.000 0.000 6.184
0.000 3.233 9.275
3.233 0.000 3.092
3.233 3.233 0.000
1.483 1.616 7.729
1.616 4.716 10.821
1.616 4.982 4.638
1.750 1.616 1.546
4.716 4.849 1.546
4.849 1.483 4.638
4.849 1.750 10.821
4.982 4.849 7.729
```

Properties
Magnetic moment, μB per formula unit: 0.000
E_tot, eV per atom: -3.05
Symmetry: No. 122

***

What did the first record say?
DFT (PBE-GGA) results for a relaxed Cd2GaSb crystal.

Geometry as POSCAR:
```
Cd2GaSb
1.0
8.169 0.000 0.000
0.000 8.169 0.000
0.000 0.000 5.953
Cd Ga Sb
8 4 4
Cartesian
1.980 2.042 0.744
2.042 6.064 2.232
2.042 6.188 5.209
2.104 2.042 3.721
6.064 6.126 3.721
6.126 1.980 5.209
6.126 2.104 2.232
6.188 6.126 0.744
0.000 0.000 0.000
0.000 4.084 1.488
4.084 0.000 4.465
4.084 4.084 2.977
0.000 0.000 2.977
0.000 4.084 4.465
4.084 0.000 1.488
4.084 4.084 0.000
```

Properties
Magnetic moment, μB per formula unit: 0.000
E_tot, eV per atom: -2.12
Symmetry: No. 122

***

- What is the formula in the first record?
  Cd2GaSb

***

- Which of these has the lowest E_tot?
  number 12

***

- Which of these has the highest E_tot?
  number 4